# 1
VASP calculation (PBE) on an optimized crystal structure of BaTlCu2.

POSCAR file:
```
BaTlCu2
1.0
5.6852 -0.0975 -0.0078
1.3363 5.5268 0.0078
-2.7760 -3.6648 3.3458
Ba Cu Tl
1 2 1
direct
0.2377 0.7377 0.5000
0.9277 0.9277 0.0000
0.7856 0.2856 0.5000
0.5490 0.5490 0.0000
```

M_tot in μB/f.u.: 0.00
E_tot in eV/atom: -2.99
Calculated formation energy in eV/atom: 0.126
Symmetry: Imm2 (44)

=====

# 2
VASP calculation (PBE) on an optimized crystal structure of BeTc2Ru.

POSCAR file:
```
BeTc2Ru
1.0
4.9198 -0.0043 -0.0011
2.2182 4.3914 0.0011
-3.0437 -3.0483 2.3767
Ru Tc Be
1 2 1
direct
0.2750 0.7750 0.5000
0.0013 0.0013 0.0000
0.7270 0.2270 0.5000
0.4966 0.4966 0.0000
```

M_tot in μB/f.u.: 0.00
E_tot in eV/atom: -8.45
Calculated formation energy in eV/atom: -0.018
Symmetry: Imm2 (44)

=====

Which of these has the highest calculated formation energy?
BaTlCu2

=====

Which value of M_tot does entry 1 give?
0.00 μB/f.u.

=====

What is the formula in the second record?
BeTc2Ru